(i)
Computed, not measured: a relaxed structure of TcMo2Rh at the PBE level of DFT.

a b c (Å): 4.310 2.685 5.420
angles (deg): 76.23 90.00 90.00
Element x y z (fractional)
Rh (0.000, 0.436, 0.493)
Tc (0.500, 0.816, 0.754)
Mo (0.500, 0.201, 0.257)
Mo (0.000, 0.047, 0.996)

Results
Symmetry = Pm
Density of states at the Fermi level = 4.1 states/eV/f.u.
Spin magnetization = 0.0 μB per cell

=====

(ii)
Computed, not measured: a relaxed structure of TcMo2Rh at the PBE level of DFT.

a b c (Å): 3.847 3.847 9.298
angles (deg): 78.06 78.06 90.00
Element x y z (fractional)
Rh (0.750, 0.250, 0.500)
Rh (0.000, 0.000, 0.000)
Mo (0.875, 0.868, 0.750)
Mo (0.375, 0.382, 0.750)
Mo (0.132, 0.625, 0.250)
Mo (0.618, 0.125, 0.250)
Tc (0.250, 0.750, 0.500)
Tc (0.500, 0.500, 0.000)

Results
Symmetry = I-42d
Density of states at the Fermi level = 3.2 states/eV/f.u.
Spin magnetization = 0.0 μB per cell

=====

(iii)
Computed, not measured: a relaxed structure of TcMo2Rh at the PBE level of DFT.

a b c (Å): 2.759 3.914 5.619
angles (deg): 90.00 90.00 90.00
Element x y z (fractional)
Tc (0.500, 0.500, 0.755)
Mo (0.500, 0.500, 0.257)
Mo (0.000, 0.000, 0.990)
Rh (0.000, 0.000, 0.498)

Results
Symmetry = Pmm2
Density of states at the Fermi level = 4.3 states/eV/f.u.
Spin magnetization = 0.0 μB per cell

=====

What should be chosen as the most stable of them? Choose (i).